one.
This record from Alexandria describes a relaxed In2MoAu crystal. The functional is PBE.

Computed properties:
As for the space-group type: P4mm. As for the density of states at the Fermi level: 0.6342 states/eV/atom.

Geometry as POSCAR:
```
In2MoAu
1.0
-2.1295 -0.9941 -1.8252
-0.6402 -2.1725 1.9299
-6.0870 5.4604 4.1277
Mo In Au
1 2 1
Cartesian
-3.1304 2.8082 2.1228
-3.1009 -0.0439 1.2161
-5.9711 5.3565 4.0491
-5.7847 2.3637 3.0360
```



two.
This record from Alexandria describes a relaxed In2MoAu crystal. The functional is PBE.

Computed properties:
As for the space-group type: R3m. As for the density of states at the Fermi level: 0.4819 states/eV/atom.

Geometry as POSCAR:
```
In2MoAu
1.0
9.6337 -0.0207 -0.0122
9.1330 3.0655 -0.0122
9.1330 1.4817 2.6836
Mo In Au
1 2 1
Cartesian
13.8479 2.2467 1.3199
0.1351 0.0219 0.0129
6.8187 1.1063 0.6499
21.0477 3.4148 2.0061
```



Most stable: one



one.
This record from Alexandria describes a relaxed In2MoAu crystal. The functional is PBE.

Computed properties:
As for the space-group type: Pmmm. As for the density of states at the Fermi level: 0.7975 states/eV/atom.

Geometry as POSCAR:
```
In2MoAu
1.0
-1.9777 -1.5462 1.8671
-1.6613 -1.6001 -3.0848
4.1128 -4.8790 0.3159
In Mo Au
2 1 1
Cartesian
2.0201 -2.3964 0.1552
0.0363 -0.0431 0.0028
-0.7913 -2.7929 -0.5299
1.2651 -5.2325 -0.3719
```



two.
This record from Alexandria describes a relaxed In2MoAu crystal. The functional is PBE.

Computed properties:
As for the space-group type: Imm2. As for the density of states at the Fermi level: 0.7133 states/eV/atom.

Geometry as POSCAR:
```
In2MoAu
1.0
0.0962 1.8530 5.8366
4.0124 -1.9505 4.1958
-1.2300 2.7594 -5.3274
In Au Mo
2 1 1
Cartesian
0.0238 -0.0006 0.0582
0.3453 2.2846 2.4820
2.5331 0.3773 2.2225
2.0307 -0.0482 4.9585
```



three.
This record from Alexandria describes a relaxed In2MoAu crystal. The functional is PBE.

Computed properties:
As for the space-group type: Immm. As for the density of states at the Fermi level: 0.7969 states/eV/atom.

Geometry as POSCAR:
```
In2MoAu
1.0
-0.9314 0.1867 5.6030
-4.8801 -2.3630 1.7020
5.0968 -0.6516 -2.4277
Mo In Au
1 2 1
Cartesian
0.6299 -0.7766 3.4139
-2.8905 -1.0825 3.6333
-0.0153 -0.0057 0.0192
-1.3445 -2.0514 1.4634
```



Most stable: two



one.
This record from Alexandria describes a relaxed In2MoAu crystal. The functional is PBE.

Computed properties:
As for the space-group type: Fm-3m. As for the density of states at the Fermi level: 0.7530 states/eV/atom.

Geometry as POSCAR:
```
In2MoAu
1.0
0.0000 3.3697 3.3697
3.3697 0.0000 3.3697
3.3697 3.3697 0.0000
In Au Mo
2 1 1
Cartesian
5.0546 5.0546 5.0546
1.6849 1.6849 1.6849
3.3697 3.3697 3.3697
0.0000 0.0000 0.0000
```



two.
This record from Alexandria describes a relaxed In2MoAu crystal. The functional is PBE.

Computed properties:
As for the space-group type: P2/m. As for the density of states at the Fermi level: 0.4494 states/eV/atom.

Geometry as POSCAR:
```
In2MoAu
1.0
-0.6198 -2.7299 1.1670
3.9741 -2.2138 -3.0679
5.5455 -0.6151 1.5064
In Mo Au
2 1 1
Cartesian
1.6771 -2.4719 -0.9505
0.0000 0.0000 0.0000
4.4499 -2.7794 -0.1972
2.7728 -0.3076 0.7532
```



Most stable: two



one.
This record from Alexandria describes a relaxed In2MoAu crystal. The functional is PBE.

Computed properties:
As for the space-group type: I-42d. As for the density of states at the Fermi level: 0.2590 states/eV/atom.

Geometry as POSCAR:
```
In2MoAu
1.0
-1.6737 6.8894 -2.6147
-7.2953 -1.9273 -0.4083
-4.8936 3.4391 1.2747
Mo In Au
2 4 2
Cartesian
-4.4845 2.4811 -1.5115
-8.3367 1.9965 -0.3226
-6.9673 4.4577 -0.1739
-11.5843 6.9037 -1.6929
-5.9770 0.4538 -0.2396
-3.1966 4.9874 -1.3903
0.0000 0.0000 0.0000
-5.5259 6.4048 -1.4258
```



two.
This record from Alexandria describes a relaxed In2MoAu crystal. The functional is PBE.

Computed properties:
As for the space-group type: C2/m. As for the density of states at the Fermi level: 0.6266 states/eV/atom.

Geometry as POSCAR:
```
In2MoAu
1.0
5.0063 0.0008 -0.0016
4.1169 2.8486 -0.0016
1.0749 0.3357 5.4456
In Au Mo
2 1 1
Cartesian
1.0682 0.3336 5.4085
5.1058 1.5946 2.7584
2.5495 0.7963 1.3606
7.6486 2.3888 4.0819
```



Most stable: two



one.
This record from Alexandria describes a relaxed In2MoAu crystal. The functional is PBE.

Computed properties:
As for the space-group type: P4/mmm. As for the density of states at the Fermi level: 0.6112 states/eV/atom.

Geometry as POSCAR:
```
In2MoAu
1.0
3.0182 0.0000 0.0000
0.0000 3.0182 0.0000
0.0000 0.0000 8.4832
Au Mo In
1 1 2
Cartesian
1.5091 1.5091 6.3624
1.5091 1.5091 2.1208
0.0000 0.0000 4.1606
0.0000 0.0000 0.0810
```



two.
This record from Alexandria describes a relaxed In2MoAu crystal. The functional is PBE.

Computed properties:
As for the space-group type: Pmm2. As for the density of states at the Fermi level: 0.7089 states/eV/atom.

Geometry as POSCAR:
```
In2MoAu
1.0
4.9106 0.0000 0.0000
0.0000 3.0495 0.0045
0.0000 -0.0051 5.1621
Mo In Au
1 2 1
Cartesian
0.0000 1.9048 2.2553
2.4553 0.3812 1.7007
0.0000 0.3750 4.7916
2.4553 1.9007 4.1644
```



Most stable: two



one.
This record from Alexandria describes a relaxed In2MoAu crystal. The functional is PBE.

Computed properties:
As for the space-group type: P4/mmm. As for the density of states at the Fermi level: 0.7553 states/eV/atom.

Geometry as POSCAR:
```
In2MoAu
1.0
3.7230 0.0000 0.0000
0.0000 4.5124 0.0000
0.0000 0.0000 4.5124
Mo In Au
1 2 1
Cartesian
1.8615 2.2562 0.0000
0.0000 0.0000 0.0000
0.0000 2.2562 2.2562
1.8615 0.0000 2.2562
```



two.
This record from Alexandria describes a relaxed In2MoAu crystal. The functional is PBE.

Computed properties:
As for the space-group type: Cmmm. As for the density of states at the Fermi level: 0.5044 states/eV/atom.

Geometry as POSCAR:
```
In2MoAu
1.0
3.0298 -0.0327 0.0000
-1.1205 2.8152 0.0000
0.0000 0.0000 9.2128
In Au Mo
2 1 1
Cartesian
0.0000 0.0000 4.5643
0.0000 0.0000 0.0421
0.9546 1.3913 6.9096
0.9546 1.3913 2.3032
```



Most stable: one



one.
This record from Alexandria describes a relaxed In3MoAu crystal. The functional is PBE.

Computed properties:
As for the space-group type: Pm-3m. As for the density of states at the Fermi level: 0.7135 states/eV/atom.

Geometry as POSCAR:
```
In3MoAu
1.0
5.2980 0.0000 0.0000
0.0000 5.2980 0.0000
0.0000 0.0000 5.2980
In Au Mo
3 1 1
Cartesian
0.0000 2.6490 0.0000
2.6490 0.0000 0.0000
0.0000 0.0000 2.6490
2.6490 2.6490 2.6490
0.0000 0.0000 0.0000
```



two.
This record from Alexandria describes a relaxed In3MoAu crystal. The functional is PBE.

Computed properties:
As for the space-group type: Pm-3m. As for the density of states at the Fermi level: 0.6122 states/eV/atom.

Geometry as POSCAR:
```
In3MoAu
1.0
-2.9803 -0.6361 4.3108
-3.8218 -2.1273 -2.9561
2.0933 -4.7896 0.7404
In Mo Au
3 1 1
Cartesian
1.0466 -2.3948 0.3702
-1.9109 -1.0636 -1.4780
-1.4901 -0.3181 2.1554
-2.3544 -3.7765 1.0476
0.0000 0.0000 0.0000
```



Most stable: one



one.
This record from Alexandria describes a relaxed InMoAu crystal. The functional is PBE.

Computed properties:
As for the space-group type: F-43m. As for the density of states at the Fermi level: 0.3891 states/eV/atom.

Geometry as POSCAR:
```
InMoAu
1.0
4.5013 0.0000 0.0000
2.2506 3.8982 0.0000
2.2506 1.2994 3.6753
Mo Au In
1 1 1
Cartesian
4.5013 2.5988 1.8376
6.7519 3.8982 2.7564
0.0000 0.0000 0.0000
```



two.
This record from Alexandria describes a relaxed InMoAu crystal. The functional is PBE.

Computed properties:
As for the space-group type: I4mm. As for the density of states at the Fermi level: 0.6560 states/eV/atom.

Geometry as POSCAR:
```
InMoAu
1.0
-4.9378 -2.5782 3.7595
-2.6219 -4.1703 4.5723
0.2043 1.5532 2.4707
Au Mo In
1 1 1
Cartesian
-7.4966 -6.6810 8.2841
-2.4177 -1.2504 4.4500
-5.0008 -4.0124 6.4000
```



Most stable: two



one.
This record from Alexandria describes a relaxed In3AuN crystal. The functional is PBE.

Computed properties:
As for the space-group type: Pm-3m. As for the density of states at the Fermi level: 1.5072 states/eV/atom.

Geometry as POSCAR:
```
In3AuN
1.0
5.2473 0.0000 0.0000
0.0000 5.2473 0.0000
0.0000 0.0000 5.2473
In Au N
3 1 1
Cartesian
0.0000 0.0000 2.6237
2.6237 0.0000 0.0000
0.0000 2.6237 0.0000
0.0000 0.0000 0.0000
2.6237 2.6237 2.6237
```



two.
This record from Alexandria describes a relaxed In3AuN crystal. The functional is PBE.

Computed properties:
As for the space-group type: Pm-3m. As for the density of states at the Fermi level: 0.8567 states/eV/atom.

Geometry as POSCAR:
```
In3AuN
1.0
-4.3176 1.3191 -1.3946
-1.4014 0.1798 4.5089
1.3119 4.5337 0.2269
N In Au
1 3 1
Cartesian
0.0000 0.0000 0.0000
-2.1588 0.6596 -0.6973
-0.7007 0.0899 2.2545
0.6559 2.2668 0.1135
-2.2036 3.0163 1.6706
```



Most stable: two



one.
This record from Alexandria describes a relaxed InAuSN2 crystal. The functional is PBE.

Computed properties:
As for the space-group type: P4/mmm. As for the density of states at the Fermi level: 0.4200 states/eV/atom.

Geometry as POSCAR:
```
InAuSN2
1.0
4.1860 0.0000 0.0000
0.0000 4.1860 0.0000
0.0000 0.0000 5.5137
N Au S In
2 1 1 1
Cartesian
2.0930 0.0000 0.0000
0.0000 2.0930 0.0000
2.0930 2.0930 2.7569
0.0000 0.0000 2.7569
0.0000 0.0000 0.0000
```



two.
This record from Alexandria describes a relaxed InAuSN2 crystal. The functional is PBE.

Computed properties:
As for the space-group type: P4/mmm. As for the density of states at the Fermi level: 0.3000 states/eV/atom.

Geometry as POSCAR:
```
InAuSN2
1.0
3.9400 0.0000 0.0000
0.0000 3.9400 0.0000
0.0000 0.0000 7.0802
S N In Au
1 2 1 1
Cartesian
0.0000 0.0000 3.5401
0.0000 1.9700 0.0000
1.9700 0.0000 0.0000
1.9700 1.9700 3.5401
0.0000 0.0000 0.0000
```



Most stable: two



one.
This record from Alexandria describes a relaxed InTe2AuN crystal. The functional is PBE.

Computed properties:
As for the space-group type: P4/mmm. As for the density of states at the Fermi level: 1.6643 states/eV/atom.

Geometry as POSCAR:
```
InTe2AuN
1.0
-2.7342 -0.5113 5.1131
-2.2495 -5.0883 -1.7117
3.1084 -1.8705 1.4751
Te In N Au
2 1 1 1
Cartesian
-1.3671 -0.2556 2.5566
-1.1248 -2.5441 -0.8559
0.0000 0.0000 0.0000
1.5542 -0.9352 0.7376
-0.9376 -3.7350 2.4383
```



two.
This record from Alexandria describes a relaxed InTe2AuN crystal. The functional is PBE.

Computed properties:
As for the space-group type: P4/mmm. As for the density of states at the Fermi level: 1.0371 states/eV/atom.

Geometry as POSCAR:
```
InTe2AuN
1.0
5.8684 0.0000 0.0000
0.0000 5.8684 0.0000
0.0000 0.0000 3.8316
Te Au N In
2 1 1 1
Cartesian
2.9342 0.0000 0.0000
0.0000 2.9342 0.0000
0.0000 0.0000 0.0000
0.0000 0.0000 1.9158
2.9342 2.9342 1.9158
```



Most stable: two



one.
This record from Alexandria describes a relaxed NaIn2Au2 crystal. The functional is PBE.

Computed properties:
As for the space-group type: P4/mbm. As for the density of states at the Fermi level: 0.3882 states/eV/atom.

Geometry as POSCAR:
```
NaIn2Au2
1.0
8.2669 0.0000 0.0000
0.0000 8.2669 0.0000
0.0000 0.0000 3.3059
Au In Na
4 4 2
Cartesian
1.4032 5.5367 1.6529
2.7302 1.4032 1.6529
5.5367 6.8637 1.6529
6.8637 2.7302 1.6529
1.0929 3.0406 0.0000
3.0406 7.1740 0.0000
5.2264 1.0929 0.0000
7.1740 5.2264 0.0000
0.0000 0.0000 0.0000
4.1335 4.1335 0.0000
```



two.
This record from Alexandria describes a relaxed NaIn2Au2 crystal. The functional is PBE.

Computed properties:
As for the space-group type: P4/mbm. As for the density of states at the Fermi level: 0.3701 states/eV/atom.

Geometry as POSCAR:
```
NaIn2Au2
1.0
8.0585 0.0000 0.0000
0.0000 8.0585 0.0000
0.0000 0.0000 3.4885
Na In Au
2 4 4
Cartesian
4.0293 4.0293 0.0000
0.0000 0.0000 0.0000
1.2883 5.3175 1.7443
5.3175 6.7703 1.7443
2.7410 1.2883 1.7443
6.7703 2.7410 1.7443
2.9137 6.9430 0.0000
1.1156 2.9137 0.0000
6.9430 5.1448 0.0000
5.1448 1.1156 0.0000
```



three.
This record from Alexandria describes a relaxed NaIn2Au2 crystal. The functional is PBE.

Computed properties:
As for the space-group type: P2_1/m. As for the density of states at the Fermi level: 0.3336 states/eV/atom.

Geometry as POSCAR:
```
NaIn2Au2
1.0
-3.6457 1.3686 -2.7970
-2.6752 -4.6389 1.2171
-2.7008 5.9762 6.4447
Au Na In
4 2 4
Cartesian
-4.8317 -0.1729 4.1585
-4.5514 -1.9447 -1.1830
-4.4703 4.6506 6.0479
-4.1901 2.8788 0.7063
-5.2386 4.7829 3.0047
-3.7831 -2.0770 1.8601
-5.4536 1.9028 5.9849
-5.6238 0.6595 1.4890
-3.3980 2.0465 3.3758
-3.5682 0.8031 -1.1200
```



four.
This record from Alexandria describes a relaxed NaIn2Au2 crystal. The functional is PBE.

Computed properties:
As for the space-group type: I4/mmm. As for the density of states at the Fermi level: 0.3334 states/eV/atom.

Geometry as POSCAR:
```
NaIn2Au2
1.0
-4.4833 -0.1633 0.9150
0.6684 -3.6986 2.6148
-1.0578 1.6131 6.5606
Na In Au
1 2 2
Cartesian
0.0000 0.0000 0.0000
-1.1484 -2.0082 5.4702
-3.7242 -0.2406 4.6202
-1.7171 -1.1372 2.8390
-3.1555 -1.1116 7.2514
```



Most stable: three



one.
This record from Alexandria describes a relaxed NaInAu3 crystal. The functional is PBE.

Computed properties:
As for the space-group type: Pm-3m. As for the density of states at the Fermi level: 0.2480 states/eV/atom.

Geometry as POSCAR:
```
NaInAu3
1.0
-3.3536 -1.4635 3.8129
-2.8321 -2.7215 -3.5355
2.9427 -4.2871 0.9427
Au In Na
3 1 1
Cartesian
1.4714 -2.1435 0.4714
-1.6768 -0.7318 1.9065
-1.4160 -1.3607 -1.7678
0.0000 0.0000 0.0000
-1.6215 -4.2360 0.6101
```



two.
This record from Alexandria describes a relaxed NaInAu3 crystal. The functional is PBE.

Computed properties:
As for the space-group type: P1. As for the density of states at the Fermi level: 0.2681 states/eV/atom.

Geometry as POSCAR:
```
NaInAu3
1.0
3.3232 0.0157 1.1762
1.6684 5.1835 0.5864
-0.2214 -0.0028 5.8944
In Au Na
1 3 1
Cartesian
3.9902 3.8770 4.6761
0.7725 0.8520 3.1850
2.9705 2.6425 2.2756
1.7970 2.2188 5.5803
1.6577 5.0592 0.7112
```



Most stable: two